Record 1
DFT (GGA-PBE) results for a relaxed Pr8Er6Pb crystal.

Cell: 12.601 12.601 3.710 Å, 90.00 90.00 120.00°
Fractional positions:
Pr: 0.081 0.301 0.240
Pr: 0.220 0.919 0.240
Pr: 0.301 0.220 0.760
Pr: 0.333 0.667 0.752
Pr: 0.667 0.333 0.248
Pr: 0.699 0.780 0.240
Pr: 0.780 0.081 0.760
Pr: 0.919 0.699 0.760
Er: 0.099 0.609 0.254
Er: 0.391 0.490 0.254
Er: 0.490 0.099 0.746
Er: 0.510 0.901 0.254
Er: 0.609 0.510 0.746
Er: 0.901 0.391 0.746
Pb: 0.000 0.000 0.500

Results
magnetic moment	0.00	μB per cell
DFT formation energy	2.0	eV per formula unit
space-group type	P-3 (147)

---

Record 2
DFT (GGA-PBE) results for a relaxed PrErRhPb crystal.

Cell: 5.236 5.236 5.236 Å, 60.00 60.00 60.00°
Fractional positions:
Pr: 0.000 0.000 0.000
Er: 0.500 0.500 0.500
Rh: 0.750 0.750 0.750
Pb: 0.250 0.250 0.250

Results
magnetic moment	0.00	μB per cell
DFT formation energy	-1.8	eV per formula unit
space-group type	F-43m (216)

---

Q: Look up the DFT formation energy of the first one.
A: 2.0 eV per formula unit

---

Q: The highest DFT formation energy belongs to which entry?
A: Pr8Er6Pb

---

Repeat the first record exactly.
DFT (GGA-PBE) results for a relaxed Pr8Er6Pb crystal.

Cell: 12.601 12.601 3.710 Å, 90.00 90.00 120.00°
Fractional positions:
Pr: 0.081 0.301 0.240
Pr: 0.220 0.919 0.240
Pr: 0.301 0.220 0.760
Pr: 0.333 0.667 0.752
Pr: 0.667 0.333 0.248
Pr: 0.699 0.780 0.240
Pr: 0.780 0.081 0.760
Pr: 0.919 0.699 0.760
Er: 0.099 0.609 0.254
Er: 0.391 0.490 0.254
Er: 0.490 0.099 0.746
Er: 0.510 0.901 0.254
Er: 0.609 0.510 0.746
Er: 0.901 0.391 0.746
Pb: 0.000 0.000 0.500

Results
magnetic moment	0.00	μB per cell
DFT formation energy	2.0	eV per formula unit
space-group type	P-3 (147)

---

Q: What is the formula in the first record?
A: Pr8Er6Pb